The following is a DFT calculation (PBE) of a relaxed PaVTcW crystal.

For the energy of formation from the pure elements, the calculation gives 0.02 eV/atom. The uncorrected energy comes out at -10.463 eV/atom.

It has space group F-43m (No. 216), with a = 6.494 Å, b = 6.494 Å, c = 6.494 Å, α = 90.00°, β = 90.00° and γ = 90.00°. The asymmetric unit holds Pa at (0.000, 0.000, 0.000), V at (0.250, 0.250, 0.250), Tc at (0.250, 0.250, 0.750) and W at (0.000, 0.000, 0.500).

---

The following is a DFT calculation (PBE) of a relaxed PaTcW crystal.

For the energy of formation from the pure elements, the calculation gives 0.26 eV/atom. The uncorrected energy comes out at -10.676 eV/atom.

It has space group P3m1 (No. 156), with a = 4.6096 Å, b = 4.6096 Å, c = 2.9542 Å, α = 90.00°, β = 90.00° and γ = 120.00°. The asymmetric unit holds Pa at (0.0000, 0.0000, 0.0000), Tc at (0.6667, 0.3333, 0.7009) and W at (0.3333, 0.6667, 0.3186).

---

The following is a DFT calculation (PBE) of a relaxed PaTc2W crystal.

For the energy of formation from the pure elements, the calculation gives -0.04 eV/atom. The uncorrected energy comes out at -10.835 eV/atom.

It has space group P4/mmm (No. 123), with a = 3.118 Å, b = 3.118 Å, c = 7.264 Å, α = 90.00°, β = 90.00° and γ = 90.00°. The asymmetric unit holds Pa at (0.000, 0.000, 0.000), Tc at (0.500, 0.500, 0.290) and W at (0.000, 0.000, 0.500).

---

The following is a DFT calculation (PBE) of a relaxed PaTc4W crystal.

For the energy of formation from the pure elements, the calculation gives 0.18 eV/atom. The uncorrected energy comes out at -10.471 eV/atom.

It has space group F-43m (No. 216), with a = 7.443 Å, b = 7.443 Å, c = 7.443 Å, α = 90.00°, β = 90.00° and γ = 90.00°. The asymmetric unit holds Pa at (0.000, 0.000, 0.000), Tc at (0.125, 0.125, 0.625) and W at (0.250, 0.250, 0.250).